Entry from Alexandria via LeMat-Bulk: a relaxed La2WO6 crystal (GGA+U).

Properties
DFT total energy = -588.449 eV/cell
DOS at the Fermi energy = 0.0000 states/eV/atom
Crystal system = orthorhombic

Lattice parameters (Å, degrees): 5.5104 9.2226 21.9587 90.00 90.00 90.00
With the nearest neighbours (Å) after each atom.
Space group P2_12_12_1 (No. 19)
Inequivalent atoms, fractional coordinates:
La 0.0060 0.2245 0.2974 x4  5 O 2.36-2.55
La 0.0155 0.7463 0.9306 x4  5 O 2.35-2.53
La 0.0226 0.0999 0.0653 x4  5 O 2.35-2.56
La 0.0532 0.1155 0.8357 x4  6 O 2.37-2.49
W 0.0124 0.4880 0.8119 x4  6 O 1.94-2.00
W 0.0360 0.4902 0.0583 x4  6 O 1.89-2.09
O 0.1251 0.8269 0.4033 x4  1 W 1.94
O 0.1444 0.8439 0.6372 x4  1 W 1.94
O 0.1838 0.6258 0.7585 x4  1 W 1.97
O 0.1908 0.1070 0.3833 x4  1 W 2.09
O 0.2068 0.1338 0.6490 x4  1 W 2.00
O 0.2150 0.0355 0.5005 x4  1 W 1.94
O 0.2189 0.3325 0.7829 x4  1 W 1.94
O 0.2224 0.3431 0.0205 x4  1 W 1.89
O 0.2261 0.9749 0.7534 x4  1 W 1.95
O 0.2273 0.6309 0.0099 x4  1 W 1.98
O 0.2402 0.4549 0.6230 x4  1 W 1.95
O 0.2480 0.5496 0.8750 x4  1 W 1.98